No. 1
A plane-wave DFT calculation with meta-GGA SCAN was carried out for a PBEsol-optimized structure of LiMgFe2.

## Properties
The value obtained for the uncorrected energy is -42.5 eV/cell. Its total magnetization is 4.951 μB per formula unit. Its density of states at the Fermi level is 3.0 states/eV/cell.

Cell lengths 3.4934, 3.4934, 4.8971 Å; angles 110.90, 110.90, 90.00 degrees
Sites, in units of the cell vectors:
Li 0.5000 0.5000 0.0000
Fe 0.7500 0.2500 0.5000
Fe 0.2500 0.7500 0.5000
Mg 0.0000 0.0000 0.0000

No. 2
A plane-wave DFT calculation with meta-GGA SCAN was carried out for a PBEsol-optimized structure of LiMgFe2.

## Properties
The value obtained for the uncorrected energy is -42.7 eV/cell. Its total magnetization is 4.908 μB per formula unit. Its density of states at the Fermi level is 2.2 states/eV/cell.

Cell lengths 2.8655, 2.8655, 6.7553 Å; angles 90.00, 90.00, 90.00 degrees
Sites, in units of the cell vectors:
Fe 0.0000 0.0000 0.0519
Fe 0.5000 0.5000 0.2068
Mg 0.5000 0.5000 0.7832
Li 0.0000 0.0000 0.4581